# K13Hg2

A geometry-optimized K13Hg2 structure (PBE, the Alexandria database).

Computed properties:
* total energy: -1.0147 eV per atom
* polymorph energy (0 for the lowest one): 0.037 eV/atom
* crystal system: trigonal
* mass density: 1.59 g/cm3
* formation enthalpy at 0 K: -0.023 eV/atom
* N(E_F): 9.81 states/eV/f.u.
* volume: 953 Å³/cell
* space group: R-3m, No. 166

Unit cell a=11.5740 b=11.5740 c=10.5877 alpha=56.87 beta=56.87 gamma=60.00
Element x y z (fractional)
K  0.7939  0.7939  0.2146
K  0.3760  0.3760  0.2427
K  0.5000  0.5000  0.5000
K  0.0053  0.3760  0.2427
K  0.6240  0.6240  0.7573
K  0.2061  0.2061  0.7854
K  0.7939  0.1976  0.2146
K  0.1976  0.7939  0.2146
K  0.2061  0.8024  0.7854
K  0.9947  0.6240  0.7573
K  0.3760  0.0053  0.2427
K  0.6240  0.9947  0.7573
K  0.8024  0.2061  0.7854
Hg  0.3610  0.3610  0.9169
Hg  0.6390  0.6390  0.0831